{
  "formula": "CoCuIr2",
  "functional": "PBE",
  "state": "optimized geometry",
  "lattice_angstrom": [[6.9438, 0.0000, 0.0000], [0.0000, 6.9438, 0.0000], [3.4719, 3.4719, 2.4651]],
  "species": ["Ir", "Ir", "Ir", "Ir", "Co", "Co", "Cu", "Cu"],
  "fractional_positions": [[0.5804, 0.1250, 0.2500], [0.1696, 0.6250, 0.2500], [0.3750, 0.4196, 0.7500], [0.8750, 0.8304, 0.7500], [0.5000, 0.5000, 0.0000], [0.2500, 0.7500, 0.5000], [0.0000, 0.0000, 0.0000], [0.7500, 0.2500, 0.5000]],
  "energy_ev_per_atom": -6.58,
  "formation_energy_ev_per_atom": 0.65,
  "dos_at_fermi_per_ev_cell": 11.20
}

=====

{
  "formula": "Co2CuIr",
  "functional": "PBE",
  "state": "optimized geometry",
  "lattice_angstrom": [[-1.1325, 1.6261, -3.0899], [-2.7352, -2.4321, -0.2775], [-2.1702, 2.2168, 1.9620]],
  "species": ["Co", "Co", "Cu", "Ir"],
  "fractional_positions": [[0.0000, 0.0000, 0.0000], [0.0000, 0.5000, 0.5000], [0.5000, 0.5000, 0.0000], [0.5000, 0.0000, 0.5000]],
  "energy_ev_per_atom": -6.65,
  "formation_energy_ev_per_atom": 0.14,
  "dos_at_fermi_per_ev_cell": 5.05
}

=====

{
  "formula": "CoCuIr",
  "functional": "PBE",
  "state": "optimized geometry",
  "lattice_angstrom": [[-3.4705, 1.2108, -1.3703], [-3.2821, -0.7932, 1.9967], [-1.9310, 2.8856, 1.8255]],
  "species": ["Co", "Cu", "Ir"],
  "fractional_positions": [[0.7500, 0.7500, 0.7500], [0.0000, 0.0000, 0.0000], [0.5000, 0.5000, 0.5000]],
  "energy_ev_per_atom": -6.19,
  "formation_energy_ev_per_atom": 0.49,
  "dos_at_fermi_per_ev_cell": 4.40
}

=====

{
  "formula": "CoCuIr2",
  "functional": "PBE",
  "state": "optimized geometry",
  "lattice_angstrom": [[-1.1189, -0.7521, -8.5251], [0.8301, -2.5802, -8.1944], [-1.7425, -3.2680, -7.7960]],
  "species": ["Co", "Cu", "Ir", "Ir"],
  "fractional_positions": [[0.5008, 0.5008, 0.5008], [0.2468, 0.2468, 0.2468], [0.9988, 0.9988, 0.9988], [0.7536, 0.7536, 0.7536]],
  "energy_ev_per_atom": -7.11,
  "formation_energy_ev_per_atom": 0.12,
  "dos_at_fermi_per_ev_cell": 4.54
}

=====

{
  "formula": "CoCuIr2",
  "functional": "PBE",
  "state": "optimized geometry",
  "lattice_angstrom": [[3.6410, 0.0000, 0.0000], [0.0000, 3.7881, 0.0000], [0.0000, 0.0000, 3.7881]],
  "species": ["Co", "Cu", "Ir", "Ir"],
  "fractional_positions": [[0.5000, 0.5000, 0.0000], [0.5000, 0.0000, 0.5000], [0.0000, 0.0000, 0.0000], [0.0000, 0.5000, 0.5000]],
  "energy_ev_per_atom": -7.02,
  "formation_energy_ev_per_atom": 0.21,
  "dos_at_fermi_per_ev_cell": 7.93
}

=====

{
  "formula": "Co2CuIr",
  "functional": "PBE",
  "state": "optimized geometry",
  "lattice_angstrom": [[-2.0488, -0.0340, 1.6539], [1.0625, -2.0449, 1.2743], [3.4044, 4.4541, 4.3090]],
  "species": ["Co", "Co", "Cu", "Ir"],
  "fractional_positions": [[0.0000, 0.0000, 0.0140], [0.5000, 0.5000, 0.2403], [0.0000, 0.0000, 0.4874], [0.5000, 0.5000, 0.7582]],
  "energy_ev_per_atom": -6.66,
  "formation_energy_ev_per_atom": 0.13,
  "dos_at_fermi_per_ev_cell": 4.56
}

=====

{
  "formula": "CoCuIr2",
  "functional": "PBE",
  "state": "optimized geometry",
  "lattice_angstrom": [[-3.1434, 1.6983, 2.9043], [-4.2659, 1.6734, 0.4503], [-2.2036, -3.7699, 1.0462]],
  "species": ["Co", "Cu", "Ir", "Ir"],
  "fractional_positions": [[0.4965, 0.4965, 0.4930], [0.2487, 0.2487, 0.2608], [0.0033, 0.0033, 0.9924], [0.7516, 0.7516, 0.7539]],
  "energy_ev_per_atom": -7.12,
  "formation_energy_ev_per_atom": 0.12,
  "dos_at_fermi_per_ev_cell": 6.30
}

=====

{
  "formula": "CoCu2Ir",
  "functional": "PBE",
  "state": "optimized geometry",
  "lattice_angstrom": [[4.1466, 0.0000, 0.0000], [2.0733, 3.5911, 0.0000], [2.0733, 1.1970, 3.3857]],
  "species": ["Co", "Cu", "Cu", "Ir"],
  "fractional_positions": [[0.5000, 0.5000, 0.5000], [0.0000, 0.0000, 0.0000], [0.7500, 0.7500, 0.7500], [0.2500, 0.2500, 0.2500]],
  "energy_ev_per_atom": -5.85,
  "formation_energy_ev_per_atom": 0.19,
  "dos_at_fermi_per_ev_cell": 4.43
}

=====

{
  "formula": "CoCuIr2",
  "functional": "PBE",
  "state": "optimized geometry",
  "lattice_angstrom": [[-1.2154, -3.8860, -3.2222], [-1.3466, -4.6042, 1.9871], [-0.9083, 5.0796, -0.5775]],
  "species": ["Co", "Cu", "Ir", "Ir"],
  "fractional_positions": [[0.7500, 0.2500, 0.5000], [0.2500, 0.7500, 0.5000], [0.9818, 0.9818, 0.0000], [0.5182, 0.5182, 0.0000]],
  "energy_ev_per_atom": -7.02,
  "formation_energy_ev_per_atom": 0.21,
  "dos_at_fermi_per_ev_cell": 5.72
}

=====

{
  "formula": "CoCuIr2",
  "functional": "PBE",
  "state": "optimized geometry",
  "lattice_angstrom": [[2.7120, 0.0000, 0.0000], [0.0000, 2.7120, 0.0000], [0.0000, 0.0000, 7.1420]],
  "species": ["Co", "Cu", "Ir", "Ir"],
  "fractional_positions": [[0.0000, 0.0000, 0.5041], [0.5000, 0.5000, 0.7375], [0.0000, 0.0000, 0.9964], [0.5000, 0.5000, 0.2620]],
  "energy_ev_per_atom": -7.13,
  "formation_energy_ev_per_atom": 0.10,
  "dos_at_fermi_per_ev_cell": 4.26
}

=====

{
  "formula": "CoCuIr2",
  "functional": "PBE",
  "state": "optimized geometry",
  "lattice_angstrom": [[8.6284, -0.0074, -0.0043], [8.2115, 2.6499, -0.0043], [8.2115, 1.2885, 2.3155]],
  "species": ["Ir", "Ir", "Co", "Cu"],
  "fractional_positions": [[0.0023, 0.0023, 0.0023], [0.4977, 0.4977, 0.4977], [0.7500, 0.7500, 0.7500], [0.2500, 0.2500, 0.2500]],
  "energy_ev_per_atom": -7.16,
  "formation_energy_ev_per_atom": 0.07,
  "dos_at_fermi_per_ev_cell": 4.63
}

=====

{
  "formula": "CoCuIr2",
  "functional": "PBE",
  "state": "optimized geometry",
  "lattice_angstrom": [[-1.9196, 1.4831, 1.1158], [-0.8630, -2.1345, 1.3523], [4.4960, 1.6735, 5.5109]],
  "species": ["Co", "Cu", "Ir", "Ir"],
  "fractional_positions": [[0.5000, 0.5000, 0.2500], [0.5000, 0.5000, 0.7500], [0.0000, 0.0000, 0.0117], [0.0000, 0.0000, 0.4883]],
  "energy_ev_per_atom": -7.12,
  "formation_energy_ev_per_atom": 0.11,
  "dos_at_fermi_per_ev_cell": 4.17
}